Ge2Bi2Br: optimized geometry, PBE.

Calculated values
ΔE_f (raw) in eV/atom: 0.142
Total magnetic moment in μB/f.u.: 0.00
Energy above the lowest structure with this stoichiometry in eV per formula unit: 0.93
Raw total energy in Ry per atom: -0.2640

The structure in CIF format:
```
data_Ge2Bi2Br
_chemical_formula_sum 'Ge4 Bi4 Br2'
_cell_length_a 8.835
_cell_length_b 8.835
_cell_length_c 3.506
_cell_angle_alpha 90.00
_cell_angle_beta 90.00
_cell_angle_gamma 90.00
_space_group_name_H-M_alt 'P 4/m b m'
_space_group_IT_number 127
_space_group_name_Hall '-P 4 2ab'
loop_
_atom_site_label
_atom_site_fract_x
_atom_site_fract_y
_atom_site_fract_z
Ge1 0.124 0.376 0.000
Bi1 0.164 0.664 0.500
Br1 0.000 0.000 0.500
```